[1]
DFT (GGA-PBE) results for a relaxed structure of CsTc3Pt.

size of the total moment = 8.2 Bohr magnetons per cell
volume = 129.5 Å³/cell
space group = Pm-3m (221)
distance to the lowest polymorph of the same formula = 0 meV per atom
electronic total energy = -5.690 eV/atom
formation energy from the elements = 1.908 eV/atom

```
CsTc3Pt
1.0
5.060 0.000 0.000
0.000 5.060 0.000
0.000 0.000 5.060
Cs Tc Pt
1 3 1
Cartesian
2.530 2.530 2.530
0.000 2.530 0.000
0.000 0.000 2.530
2.530 0.000 0.000
0.000 0.000 0.000
```


[2]
DFT (GGA-PBE) results for a relaxed structure of K2ZrTiSb.

size of the total moment = 2.3 Bohr magnetons per cell
volume = 225.3 Å³/cell
space group = P4/mmm (123)
electronic total energy = -3.440 eV/atom
ΔE_f (raw) = 536 kJ/mol of formula units

```
K2ZrTiSb
1.0
-0.152 5.574 -3.052
1.343 -2.571 -4.762
-6.168 -0.865 -1.272
Sb K Zr Ti
1 2 1 1
Cartesian
0.000 0.000 0.000
-3.084 -0.433 -0.636
-0.076 2.787 -1.526
0.671 -1.285 -2.381
-2.489 1.069 -4.543
```